(1)
# Tm2Ga8Cu

An optimized crystal structure of Tm2Ga8Cu (PBE, the Alexandria database).

a b c (Å): 4.287 4.287 11.033
angles (deg): 90.00 90.00 90.00
Space group P4/mmm (No. 123)
Asymmetric unit:
Tm 0.000 0.000 0.191
Ga 0.000 0.500 0.000
Ga 0.000 0.500 0.375
Ga 0.500 0.500 0.196
Cu 0.000 0.000 0.500

Calculated values
VASP energy = -3.779 eV per atom
crystal system = tetragonal

---

(2)
# Tm2Ga5Cu5

An optimized crystal structure of Tm2Ga5Cu5 (PBE, the Alexandria database).

a b c (Å): 4.041 5.210 9.239
angles (deg): 90.00 90.00 90.00
Space group Pmmm (No. 47)
Asymmetric unit:
Tm 0.000 0.000 0.000
Tm 0.000 0.500 0.500
Ga 0.000 0.000 0.315
Ga 0.000 0.500 0.167
Ga 0.500 0.000 0.500
Cu 0.500 0.253 0.249
Cu 0.500 0.500 0.000

Calculated values
VASP energy = -4.018 eV per atom
crystal system = orthorhombic

---

(3)
# Tm3Ga7Cu2

An optimized crystal structure of Tm3Ga7Cu2 (PBE, the Alexandria database).

a b c (Å): 4.142 4.126 13.176
angles (deg): 90.00 98.99 90.00
Space group P2/m (No. 10)
Asymmetric unit:
Tm 0.000 0.000 0.000
Tm 0.316 0.500 0.632
Ga 0.083 0.500 0.168
Ga 0.225 0.000 0.449
Ga 0.415 0.000 0.832
Ga 0.500 0.500 0.000
Cu 0.135 0.000 0.268

Calculated values
VASP energy = -4.056 eV per atom
crystal system = monoclinic

---

(4)
# TmGa4Cu4

An optimized crystal structure of TmGa4Cu4 (PBE, the Alexandria database).

a b c (Å): 5.721 5.721 8.706
angles (deg): 90.00 90.00 90.00
Space group P4_2/nmc (No. 137, origin choice 2)
Asymmetric unit:
Tm 0.250 0.750 0.250
Ga 0.021 0.250 0.042
Cu 0.034 0.250 0.326

Calculated values
VASP energy = -3.895 eV per atom
crystal system = tetragonal

---

no.,density of states at the Fermi level (states/eV/f.u.),magnetic moment (μB/cell)
1,4.7,0.00
2,4.2,0.00
3,5.6,0.00
4,3.6,0.00